No. 1
# TlIr2Pd2 GGA-PBE relaxed
# Density, Mg/m³: 15.3
# DFT total energy, eV/atom: -5.7079
# Total magnetic moment, Bohr magnetons per cell: 0.022
data_TlIr2Pd2
_cell_length_a 7.845
_cell_length_b 7.845
_cell_length_c 2.827
_cell_angle_alpha 90.00
_cell_angle_beta 90.00
_cell_angle_gamma 90.00
_symmetry_space_group_name_H-M 'P 4/m b m'
_symmetry_Int_Tables_number 127
_symmetry_space_group_name_Hall '-P 4 2ab'
loop_
_atom_site_label
_atom_site_type_symbol
_atom_site_fract_x
_atom_site_fract_y
_atom_site_fract_z
Tl1 Tl 0.000 0.000 0.000
Ir1 Ir 0.116 0.384 0.000
Pd1 Pd 0.181 0.681 0.500

No. 2
# TlIr3Pd GGA-PBE relaxed
# Density, Mg/m³: 13.3
# DFT total energy, eV/atom: -4.9548
# Offset from the most stable computed form, eV per atom: 0.000
# Total magnetic moment, Bohr magnetons per cell: 2.754
data_TlIr3Pd
_cell_length_a 4.809
_cell_length_b 4.809
_cell_length_c 4.809
_cell_angle_alpha 90.00
_cell_angle_beta 90.00
_cell_angle_gamma 90.00
_symmetry_space_group_name_H-M 'P m -3 m'
_symmetry_Int_Tables_number 221
_symmetry_space_group_name_Hall '-P 4 2 3'
loop_
_atom_site_label
_atom_site_type_symbol
_atom_site_fract_x
_atom_site_fract_y
_atom_site_fract_z
Tl1 Tl 0.000 0.000 0.000
Ir1 Ir 0.000 0.500 0.500
Pd1 Pd 0.500 0.500 0.500

No. 3
# TlIrPd3 GGA-PBE relaxed
# Density, Mg/m³: 10.1
# DFT total energy, eV/atom: -4.4907
# Offset from the most stable computed form, eV per atom: 0.000
# Total magnetic moment, Bohr magnetons per cell: 0.001
data_TlIrPd3
_cell_length_a 4.904
_cell_length_b 4.904
_cell_length_c 4.904
_cell_angle_alpha 90.00
_cell_angle_beta 90.00
_cell_angle_gamma 90.00
_symmetry_space_group_name_H-M 'P m -3 m'
_symmetry_Int_Tables_number 221
_symmetry_space_group_name_Hall '-P 4 2 3'
loop_
_atom_site_label
_atom_site_type_symbol
_atom_site_fract_x
_atom_site_fract_y
_atom_site_fract_z
Tl1 Tl 0.000 0.000 0.000
Ir1 Ir 0.500 0.500 0.500
Pd1 Pd 0.000 0.500 0.500

No. 4
# TmTlIrPd GGA-PBE relaxed
# Density, Mg/m³: 14.6
# DFT total energy, eV/atom: -5.7002
# Total magnetic moment, Bohr magnetons per cell: 0.000
data_TmTlIrPd
_cell_length_a 6.739
_cell_length_b 6.739
_cell_length_c 6.739
_cell_angle_alpha 90.00
_cell_angle_beta 90.00
_cell_angle_gamma 90.00
_symmetry_space_group_name_H-M 'F -4 3 m'
_symmetry_Int_Tables_number 216
_symmetry_space_group_name_Hall 'F -4 2 3'
loop_
_atom_site_label
_atom_site_type_symbol
_atom_site_fract_x
_atom_site_fract_y
_atom_site_fract_z
Tm1 Tm 0.000 0.000 0.000
Tl1 Tl 0.000 0.000 0.500
Ir1 Ir 0.250 0.250 0.250
Pd1 Pd 0.250 0.250 0.750

No. 5
# Tm6IrPd2 GGA-PBE relaxed
# Density, Mg/m³: 11.0
# DFT total energy, eV/atom: -5.7714
# Offset from the most stable computed form, eV per atom: 0.000
# Total magnetic moment, Bohr magnetons per cell: 0.000
data_Tm6IrPd2
_cell_length_a 9.364
_cell_length_b 9.528
_cell_length_c 9.563
_cell_angle_alpha 90.00
_cell_angle_beta 90.00
_cell_angle_gamma 90.00
_symmetry_space_group_name_H-M 'I m m m'
_symmetry_Int_Tables_number 71
_symmetry_space_group_name_Hall '-I 2 2'
loop_
_atom_site_label
_atom_site_type_symbol
_atom_site_fract_x
_atom_site_fract_y
_atom_site_fract_z
Tm1 Tm 0.000 0.211 0.168
Tm2 Tm 0.173 0.240 0.500
Tm3 Tm 0.186 0.500 0.243
Ir1 Ir 0.000 0.500 0.000
Ir2 Ir 0.000 0.500 0.500
Pd1 Pd 0.000 0.000 0.364
Pd2 Pd 0.156 0.000 0.000

No. 6
# Tm5Ir2Pd GGA-PBE relaxed
# Density, Mg/m³: 11.9
# DFT total energy, eV/atom: -6.4766
# Total magnetic moment, Bohr magnetons per cell: 0.000
data_Tm5Ir2Pd
_cell_length_a 7.501
_cell_length_b 7.501
_cell_length_c 13.224
_cell_angle_alpha 90.00
_cell_angle_beta 90.00
_cell_angle_gamma 90.00
_symmetry_space_group_name_H-M 'I 4/m c m'
_symmetry_Int_Tables_number 140
_symmetry_space_group_name_Hall '-I 4 2c'
loop_
_atom_site_label
_atom_site_type_symbol
_atom_site_fract_x
_atom_site_fract_y
_atom_site_fract_z
Tm1 Tm 0.000 0.000 0.000
Tm2 Tm 0.163 0.337 0.139
Ir1 Ir 0.138 0.362 0.500
Pd1 Pd 0.000 0.000 0.250

No. 7
# Tm2IrPd GGA-PBE relaxed
# Density, Mg/m³: 13.2
# DFT total energy, eV/atom: -6.7086
# Offset from the most stable computed form, eV per atom: 0.023
# Total magnetic moment, Bohr magnetons per cell: 0.000
data_Tm2IrPd
_cell_length_a 3.422
_cell_length_b 3.422
_cell_length_c 6.849
_cell_angle_alpha 90.00
_cell_angle_beta 90.00
_cell_angle_gamma 90.00
_symmetry_space_group_name_H-M 'P 4/m m m'
_symmetry_Int_Tables_number 123
_symmetry_space_group_name_Hall '-P 4 2'
loop_
_atom_site_label
_atom_site_type_symbol
_atom_site_fract_x
_atom_site_fract_y
_atom_site_fract_z
Tm1 Tm 0.000 0.000 0.239
Ir1 Ir 0.500 0.500 0.000
Pd1 Pd 0.500 0.500 0.500

No. 8
# Tm12IrPd6 GGA-PBE relaxed
# Density, Mg/m³: 9.2
# DFT total energy, eV/atom: -5.5408
# Total magnetic moment, Bohr magnetons per cell: 0.000
data_Tm12IrPd6
_cell_length_a 12.4199
_cell_length_b 12.4199
_cell_length_c 11.5394
_cell_angle_alpha 90.00
_cell_angle_beta 90.00
_cell_angle_gamma 120.00
_symmetry_space_group_name_H-M 'R -3'
_symmetry_Int_Tables_number 148
_symmetry_space_group_name_Hall '-R 3'
loop_
_atom_site_label
_atom_site_type_symbol
_atom_site_fract_x
_atom_site_fract_y
_atom_site_fract_z
Tm1 Tm 0.0270 0.2103 0.3897
Tm2 Tm 0.0390 0.2013 0.8797
Ir1 Ir 0.0000 0.0000 0.0000
Pd1 Pd 0.0419 0.2649 0.6430

No. 9
# Tm3Ir2Pd2 GGA-PBE relaxed
# Density, Mg/m³: 13.7
# DFT total energy, eV/atom: -6.7373
# Total magnetic moment, Bohr magnetons per cell: 0.000
data_Tm3Ir2Pd2
_cell_length_a 8.114
_cell_length_b 4.691
_cell_length_c 7.538
_cell_angle_alpha 90.00
_cell_angle_beta 111.13
_cell_angle_gamma 90.00
_symmetry_space_group_name_H-M 'C 1 2/m 1'
_symmetry_Int_Tables_number 12
_symmetry_space_group_name_Hall '-C 2y'
loop_
_atom_site_label
_atom_site_type_symbol
_atom_site_fract_x
_atom_site_fract_y
_atom_site_fract_z
Tm1 Tm 0.000 0.000 0.000
Tm2 Tm 0.073 0.500 0.722
Ir1 Ir 0.212 0.500 0.137
Pd1 Pd 0.148 0.000 0.444

No. 10
# Tm8IrPd2 GGA-PBE relaxed
# Density, Mg/m³: 10.7
# DFT total energy, eV/atom: -5.5506
# Offset from the most stable computed form, eV per atom: 0.000
# Total magnetic moment, Bohr magnetons per cell: 0.000
data_Tm8IrPd2
_cell_length_a 17.124
_cell_length_b 5.003
_cell_length_c 6.657
_cell_angle_alpha 90.00
_cell_angle_beta 106.39
_cell_angle_gamma 90.00
_symmetry_space_group_name_H-M 'C 1 2/m 1'
_symmetry_Int_Tables_number 12
_symmetry_space_group_name_Hall '-C 2y'
loop_
_atom_site_label
_atom_site_type_symbol
_atom_site_fract_x
_atom_site_fract_y
_atom_site_fract_z
Tm1 Tm 0.032 0.000 0.293
Tm2 Tm 0.090 0.500 0.939
Tm3 Tm 0.165 0.500 0.472
Tm4 Tm 0.203 0.000 0.817
Ir1 Ir 0.000 0.500 0.500
Pd1 Pd 0.187 0.000 0.218

No. 11
# Tm5Ir4Pd GGA-PBE relaxed
# Density, Mg/m³: 14.6
# DFT total energy, eV/atom: -7.2294
# Total magnetic moment, Bohr magnetons per cell: 0.000
data_Tm5Ir4Pd
_cell_length_a 3.343
_cell_length_b 3.343
_cell_length_c 17.519
_cell_angle_alpha 90.00
_cell_angle_beta 90.00
_cell_angle_gamma 90.00
_symmetry_space_group_name_H-M 'P 4/m m m'
_symmetry_Int_Tables_number 123
_symmetry_space_group_name_Hall '-P 4 2'
loop_
_atom_site_label
_atom_site_type_symbol
_atom_site_fract_x
_atom_site_fract_y
_atom_site_fract_z
Tm1 Tm 0.000 0.000 0.000
Tm2 Tm 0.000 0.000 0.198
Tm3 Tm 0.000 0.000 0.395
Ir1 Ir 0.500 0.500 0.099
Ir2 Ir 0.500 0.500 0.298
Pd1 Pd 0.500 0.500 0.500

No. 12
# Tm2IrPd GGA-PBE relaxed
# Density, Mg/m³: 13.3
# DFT total energy, eV/atom: -6.7320
# Offset from the most stable computed form, eV per atom: 0.000
# Total magnetic moment, Bohr magnetons per cell: 0.000
data_Tm2IrPd
_cell_length_a 6.831
_cell_length_b 6.831
_cell_length_c 6.831
_cell_angle_alpha 90.00
_cell_angle_beta 90.00
_cell_angle_gamma 90.00
_symmetry_space_group_name_H-M 'F m -3 m'
_symmetry_Int_Tables_number 225
_symmetry_space_group_name_Hall '-F 4 2 3'
loop_
_atom_site_label
_atom_site_type_symbol
_atom_site_fract_x
_atom_site_fract_y
_atom_site_fract_z
Tm1 Tm 0.250 0.250 0.250
Ir1 Ir 0.000 0.000 0.000
Pd1 Pd 0.000 0.000 0.500

Look up the total magnetic moment of the tenth one.
0.000 Bohr magnetons per cell

Which formula does entry 6 have?
Tm5Ir2Pd

Number 5 is which compound?
Tm6IrPd2

Which formula does entry 5 have?
Tm6IrPd2